VASP calculation (meta-GGA SCAN) on a PBEsol-optimized structure of V5Bi17Pb5O43.

DOS(E_F) (states/eV/f.u.): 0.000
Total energy (eV per atom): -31.1152
Mass density (Mg/m³): 8.1
ΔE_f (raw) (meV/atom): -1542

a b c (Å): 16.1864 16.7741 11.5237
angles (deg): 90.00 133.48 90.00
Space group Cm (No. 8)
One atom of each set of equivalent atoms:
V 0.0000 0.0000 0.0000
V 0.0024 0.3454 0.3485
V 0.1897 0.1607 0.7317
Bi 0.0047 0.3499 0.6879
Bi 0.0066 0.0000 0.3820
Bi 0.0161 0.3590 0.0355
Bi 0.1502 0.1827 0.0158
Bi 0.1622 0.1704 0.3715
Bi 0.1752 0.5000 0.7048
Bi 0.3240 0.0000 0.3693
Bi 0.3273 0.3301 0.0260
Bi 0.3364 0.3216 0.6905
Bi 0.3637 0.0000 0.0609
Bi 0.4875 0.5000 0.6717
Pb 0.1873 0.5000 0.3765
Pb 0.1974 0.5000 0.0537
Pb 0.3445 0.3381 0.3664
Pb 0.3481 0.0000 0.7089
O 0.0003 0.5000 0.5997
O 0.0009 0.2506 0.2905
O 0.0008 0.4135 0.8451
O 0.0027 0.4093 0.2273
O 0.0046 0.0821 0.9142
O 0.0763 0.0980 0.6077
O 0.1128 0.0000 0.2042
O 0.1172 0.2217 0.1560
O 0.1246 0.3686 0.5396
O 0.1583 0.2408 0.7871
O 0.1792 0.4100 0.2131
O 0.1824 0.4090 0.8494
O 0.2342 0.2960 0.0823
O 0.2396 0.1891 0.6458
O 0.2784 0.2649 0.4799
O 0.2986 0.1110 0.9068
O 0.3172 0.0908 0.4971
O 0.3588 0.4112 0.5775
O 0.3732 0.5000 0.9492
O 0.3837 0.1329 0.3115
O 0.3879 0.4129 0.2091
O 0.3951 0.5000 0.4193
O 0.4600 0.0000 0.9996
O 0.4956 0.2527 0.8203



VASP calculation (meta-GGA SCAN) on a PBEsol-optimized structure of LiTlZn3.

DOS(E_F) (states/eV/f.u.): 2.463
Total energy (eV per atom): -22.6572
Mass density (Mg/m³): 6.9

a b c (Å): 4.6149 4.6149 4.6149
angles (deg): 90.00 90.00 90.00
Space group Pm-3m (No. 221)
One atom of each set of equivalent atoms:
Li 0.0000 0.0000 0.0000
Tl 0.5000 0.5000 0.5000
Zn 0.0000 0.0000 0.5000